(1)
The following is a DFT calculation (PBE) of a relaxed structure of NaGa2PRu.

a = 4.7927 Å, b = 4.7927 Å, c = 5.4928 Å
α = 90.00°, β = 90.00°, γ = 90.00°
Fractional positions:
1 Na 0.0000 0.0000 0.0000
2 Ga 0.0000 0.5000 0.5000
3 Ga 0.5000 0.0000 0.5000
4 P 0.5000 0.5000 0.0000
5 Ru 0.0000 0.0000 0.5000

Output
Space group: P4/mmm, No. 123
DFT formation energy: 643 meV/atom


(2)
The following is a DFT calculation (PBE) of a relaxed structure of K3PtRh3O8.

a = 6.9783 Å, b = 6.9783 Å, c = 6.9783 Å
α = 54.60°, β = 54.60°, γ = 54.60°
Fractional positions:
1 K 0.0000 0.5000 0.5000
2 K 0.5000 0.0000 0.5000
3 K 0.5000 0.5000 0.0000
4 Pt 0.5000 0.5000 0.5000
5 Rh 0.0000 0.0000 0.5000
6 Rh 0.0000 0.5000 0.0000
7 Rh 0.5000 0.0000 0.0000
8 O 0.2229 0.2229 0.2229
9 O 0.2234 0.7208 0.7208
10 O 0.2792 0.2792 0.7766
11 O 0.2792 0.7766 0.2792
12 O 0.7208 0.2234 0.7208
13 O 0.7208 0.7208 0.2234
14 O 0.7766 0.2792 0.2792
15 O 0.7771 0.7771 0.7771

Output
Space group: R-3m, No. 166
ΔE_f (raw): -0.99 eV per atom


(3)
The following is a DFT calculation (PBE) of a relaxed structure of HgAuN2F.

a = 3.9798 Å, b = 3.9798 Å, c = 5.3292 Å
α = 90.00°, β = 90.00°, γ = 90.00°
Fractional positions:
1 Hg 0.0000 0.0000 0.0000
2 Au 0.5000 0.5000 0.5000
3 N 0.0000 0.5000 0.5000
4 N 0.5000 0.0000 0.5000
5 F 0.5000 0.5000 0.0000

Output
Space group: P4/mmm, No. 123
Excess energy over the best structure of this formula in the dataset: 0 meV per atom
ΔE_f (raw): 1.22 eV per atom


(4)
The following is a DFT calculation (PBE) of a relaxed structure of LiTlS2.

a = 7.2359 Å, b = 7.2359 Å, c = 6.7098 Å
α = 90.00°, β = 90.00°, γ = 90.00°
Fractional positions:
1 Li 0.0000 0.0000 0.2500
2 Li 0.0000 0.0000 0.7500
3 Li 0.5000 0.5000 0.2500
4 Li 0.5000 0.5000 0.7500
5 Tl 0.0000 0.5000 0.2500
6 Tl 0.0000 0.5000 0.7500
7 Tl 0.5000 0.0000 0.2500
8 Tl 0.5000 0.0000 0.7500
9 S 0.1921 0.3079 0.0000
10 S 0.1921 0.6921 0.5000
11 S 0.3079 0.1921 0.5000
12 S 0.3079 0.8079 0.0000
13 S 0.6921 0.1921 0.0000
14 S 0.6921 0.8079 0.5000
15 S 0.8079 0.3079 0.5000
16 S 0.8079 0.6921 0.0000

Output
Space group: I4/mcm, No. 140
ΔE_f (raw): -0.40 eV per atom